The following is a PBE-GGA calculation of an optimized crystal structure of Pm2YErS6, from the Alexandria database. Values from VASP.

Results
- Total magnetic moment: 0.00 μB/f.u.
- Raw total energy: -6.57 eV per atom
- DOS(E_F): 0.0000 states/eV per atom
- Formation energy from raw total energies: -2045.2 meV per atom

Structure (Quantum ESPRESSO input):
```
&SYSTEM
  ibrav = 0, nat = 10, ntyp = 4
/
ATOMIC_SPECIES
S 32.06 S.upf
Y 88.91 Y.upf
Pm 145.00 Pm.upf
Er 167.26 Er.upf
ATOMIC_POSITIONS angstrom
S 9.572 4.198 1.586
S 8.138 5.802 4.691
S 5.864 1.760 1.586
S 5.606 6.190 1.586
S 4.934 4.147 4.691
S 7.970 2.200 4.691
Y 10.521 6.075 3.415
Pm 3.507 2.025 5.809
Pm 7.014 4.050 2.702
Er 3.507 2.025 0.303
CELL_PARAMETERS angstrom
7.014 0.000 0.000
3.507 6.074 0.000
3.507 2.025 6.193
```

The following is a PBE-GGA calculation of an optimized crystal structure of AlIn2O, from the Alexandria database. Values from VASP.

Results
- Total magnetic moment: 0.00 μB/f.u.
- Raw total energy: -4.38 eV per atom
- Offset from the most stable computed form: 0.57 eV per formula unit
- DOS(E_F): 0.2846 states/eV per atom
- Formation energy from raw total energies: -832.8 meV per atom

Structure (Quantum ESPRESSO input):
```
&SYSTEM
  ibrav = 0, nat = 4, ntyp = 3
/
ATOMIC_SPECIES
In 114.82 In.upf
O 16.00 O.upf
Al 26.98 Al.upf
ATOMIC_POSITIONS angstrom
In 1.532 2.483 0.057
In 3.299 -0.235 0.271
O 0.473 4.905 -0.150
Al 4.356 2.953 0.267
CELL_PARAMETERS angstrom
-0.244 0.126 3.005
4.855 -2.373 -1.001
0.007 5.852 -0.170
```

Question: Which of these has the highest formation energy from raw total energies?
Answer: AlIn2O

Question: Which value of formation energy from raw total energies does entry 1 give?
Answer: -2045.2 meV per atom

Question: Look up the formation energy from raw total energies of the second one.
Answer: -832.8 meV per atom

Question: The highest formation energy from raw total energies belongs to which entry?
Answer: AlIn2O